[1]
DFT (PBE) results for a relaxed TaSi2 crystal.

a b c (Å): 4.570 4.570 5.073
angles (deg): 90.00 90.00 120.00
Positions (direct):
Ta1 0.667 0.333 0.250
Ta2 0.333 0.667 0.750
Si1 0.000 0.000 0.000
Si2 0.000 0.000 0.500
Si3 0.333 0.667 0.250
Si4 0.667 0.333 0.750

Values from the calculation:
- energy relative to the elements, uncorrected (eV per atom) = 0.1257
- DOS at the Fermi energy (states/eV per cell) = 2.2
- final energy (eV per atom) = -7.44


[2]
DFT (PBE) results for a relaxed SiSbTe2P crystal.

a b c (Å): 5.752 4.956 5.752
angles (deg): 90.00 90.00 90.00
Positions (direct):
Sb1 0.000 0.000 0.000
Si1 0.500 0.500 0.500
Te1 0.000 0.000 0.500
Te2 0.500 0.000 0.000
P1 0.000 0.500 0.000

Values from the calculation:
- energy relative to the elements, uncorrected (eV per atom) = 1.0808
- DOS at the Fermi energy (states/eV per cell) = 4.3
- final energy (eV per atom) = -3.17
- excess energy over the best structure of this formula in the dataset (meV per atom) = 292